ErMgAuO4 | Alexandria via LeMat-Bulk | GGA-PBE | optimized geometry; E_tot = -6.099 eV per atom; M_tot = 0.00 Bohr magnetons per cell
1.0
6.239 0.000 0.000
-3.120 5.893 -0.228
0.000 -3.384 5.565
Er Mg Au O
2 2 2 8
direct
0.500 0.000 0.500 Er
0.500 0.000 0.000 Er
0.855 0.710 0.105 Mg
0.145 0.290 0.895 Mg
0.500 0.500 0.500 Au
0.000 0.500 0.500 Au
0.738 0.477 0.697 O
0.221 0.901 0.201 O
0.680 0.901 0.201 O
0.738 0.477 0.280 O
0.262 0.523 0.720 O
0.779 0.099 0.799 O
0.320 0.099 0.799 O
0.262 0.523 0.303 O


ErMgPbAu | Alexandria via LeMat-Bulk | GGA-PBE | optimized geometry; E_tot = -3.788 eV per atom; energy relative to the elements = -0.5024 eV/atom; M_tot = 0.00 Bohr magnetons per cell
1.0
-2.781 -0.196 -4.257
1.937 -2.103 -4.210
-1.787 -4.463 -1.669
Pb Mg Au Er
1 1 1 1
direct
0.500 0.500 0.500 Pb
0.250 0.250 0.250 Mg
0.000 0.000 0.000 Au
0.750 0.750 0.750 Er


PmEr2MgAu4 | Alexandria via LeMat-Bulk | GGA-PBE | optimized geometry; E_tot = -4.362 eV per atom; energy relative to the elements = -0.7898 eV/atom; M_tot = 0.00 Bohr magnetons per cell
1.0
-4.726 -1.222 0.987
-1.276 -1.527 4.566
-3.582 6.977 4.049
Pm Er Mg Au
1 2 1 4
direct
0.000 0.000 0.000 Pm
0.757 0.757 0.730 Er
0.243 0.243 0.270 Er
0.500 0.500 0.500 Mg
0.384 0.384 0.849 Au
0.876 0.876 0.371 Au
0.124 0.124 0.629 Au
0.616 0.616 0.151 Au


PmErMg2Au4 | Alexandria via LeMat-Bulk | GGA-PBE | optimized geometry; E_tot = -3.967 eV per atom; energy relative to the elements = -0.7658 eV/atom; M_tot = 0.00 Bohr magnetons per cell
1.0
-0.028 -4.570 -1.859
3.983 -2.876 0.461
-1.536 -5.312 6.535
Pm Er Mg Au
1 1 2 4
direct
0.000 0.000 0.000 Pm
0.500 0.500 0.500 Er
0.751 0.751 0.748 Mg
0.249 0.249 0.252 Mg
0.379 0.379 0.863 Au
0.871 0.871 0.386 Au
0.129 0.129 0.614 Au
0.621 0.621 0.137 Au


PrErMgAu | Alexandria via LeMat-Bulk | GGA-PBE | optimized geometry; E_tot = -3.928 eV per atom; energy relative to the lowest polymorph listed for this composition = 0.0772 eV/atom; energy relative to the elements = -0.3745 eV/atom; M_tot = 0.00 Bohr magnetons per cell
1.0
-4.430 1.691 -2.324
-4.392 0.662 2.855
-1.804 4.865 0.980
Pr Mg Au Er
1 1 1 1
direct
0.750 0.750 0.750 Pr
0.500 0.500 0.500 Mg
0.000 0.000 0.000 Au
0.250 0.250 0.250 Er


PrErMgAu | Alexandria via LeMat-Bulk | GGA-PBE | optimized geometry; E_tot = -4.005 eV per atom; energy relative to the lowest polymorph listed for this composition = 0.0000 eV/atom; energy relative to the elements = -0.4517 eV/atom; M_tot = 0.00 Bohr magnetons per cell
1.0
-2.189 -1.709 -2.504
3.029 -1.366 -1.715
-0.262 -6.059 4.362
Pr Er Mg Au
1 1 1 1
direct
0.000 0.000 0.866 Pr
0.000 0.000 0.336 Er
0.500 0.500 0.587 Mg
0.500 0.500 0.139 Au


ErMgPtAu | Alexandria via LeMat-Bulk | GGA-PBE | optimized geometry; E_tot = -4.785 eV per atom; energy relative to the elements = -0.9165 eV/atom; M_tot = 0.00 Bohr magnetons per cell
1.0
4.800 0.000 0.000
2.400 4.157 0.000
2.400 1.386 3.919
Mg Au Pt Er
1 1 1 1
direct
0.000 0.000 0.000 Mg
0.750 0.750 0.750 Au
0.250 0.250 0.250 Pt
0.500 0.500 0.500 Er


ErPuMg2Au4 | Alexandria via LeMat-Bulk | GGA-PBE | optimized geometry; E_tot = -5.022 eV per atom; energy relative to the elements = -0.6223 eV/atom; M_tot = 5.42 Bohr magnetons per cell
1.0
4.919 0.000 0.000
2.459 4.260 0.000
2.459 1.420 8.088
Er Pu Mg Au
1 1 2 4
direct
0.500 0.500 0.500 Er
0.000 0.000 0.000 Pu
0.750 0.750 0.750 Mg
0.250 0.250 0.250 Mg
0.379 0.379 0.863 Au
0.872 0.872 0.383 Au
0.128 0.128 0.617 Au
0.621 0.621 0.137 Au